A plane-wave DFT calculation with PBE was carried out for an optimized crystal structure of CaTe3Ir.

Output
Relative energy among the computed polymorphs ... 0 meV/atom
Total magnetic moment ... 0.00 μB per cell
Raw formation energy ... -0.133 eV per atom
Electronic total energy ... -20.952 eV/cell

Lattice parameters (Å, degrees): 5.3391 5.3391 5.3391 90.00 90.00 90.00
Sites, in units of the cell vectors:
Ca 0.0000 0.0000 0.0000
Te 0.0000 0.5000 0.5000
Te 0.5000 0.0000 0.5000
Te 0.5000 0.5000 0.0000
Ir 0.5000 0.5000 0.5000